Below is crystalline SmSc5Rh4 at its relaxed geometry, with properties calculated at the PBE level.

abc: 3.2382 3.2382 18.2296
angles: 90.00 90.00 90.00
Last column: nearest neighbours and their distance in Å.
Space group P4/mmm (No. 123)
Inequivalent atoms, fractional coordinates:
Sm 0.0000 0.0000 0.0000 [1 per cell]  4 Sm 3.24, 8 Sc 3.52
Sc 0.5000 0.5000 0.1470 [2 per cell]  4 Rh 2.76
Sc 0.5000 0.5000 0.3222 [2 per cell]  8 Rh 2.80-2.82
Sc 0.5000 0.5000 0.5000 [1 per cell]  8 Rh 2.81
Rh 0.0000 0.0000 0.2316 [2 per cell]  8 Sc 2.76-2.82
Rh 0.0000 0.0000 0.4109 [2 per cell]  8 Sc 2.80-2.81

Results
Energy relative to the elements in meV per atom: -807
Raw total energy in eV for the cell shown: -73.8
Density of states at the Fermi level in states/eV/f.u.: 5.70